Record 1
DFT (PBE) results for Co after structural relaxation.

Cell: 2.4602 2.4602 19.9426 Å, 90.00 90.00 120.00°
Closest atoms and distances in Å follow each position.
Positions (direct):
1 Co 0.6667 0.3333 0.0520  12 Co 2.42-2.51
2 Co 0.6667 0.3333 0.8499  9 Co 2.42-2.46
3 Co 0.3333 0.6667 0.1501  9 Co 2.42-2.46
4 Co 0.3333 0.6667 0.9480  12 Co 2.42-2.51

Values from the calculation:
Size of the total moment in μB per formula unit: 1.67
SG: P-3m1
Energy of formation from the pure elements in eV per atom: 0.35
ΔE to the lowest computed polymorph in kJ per mole of atoms: 33.6

=====

Record 2
DFT (PBE) results for BaPmSi after structural relaxation.

Cell: 5.3029 5.3029 5.3029 Å, 60.00 60.00 60.00°
Closest atoms and distances in Å follow each position.
Positions (direct):
1 Ba 0.2500 0.2500 0.2500  4 Si 3.25
2 Pm 0.7500 0.7500 0.7500  4 Si 3.25
3 Si 0.0000 0.0000 0.0000  4 Pm 3.25, 4 Ba 3.25

Values from the calculation:
Size of the total moment in μB per formula unit: 0.80
SG: F-43m
ΔE to the lowest computed polymorph in kJ per mole of atoms: 0.0

=====

Record 3
DFT (PBE) results for DyAgSO after structural relaxation.

Cell: 4.1976 6.4830 6.3279 Å, 90.00 90.00 90.00°
Closest atoms and distances in Å follow each position.
Positions (direct):
1 S 0.0000 0.6529 0.1948  2 Ag 2.52-2.55, 2 Dy 2.64
2 S 0.0000 0.3471 0.6948  2 Ag 2.52-2.55, 2 Dy 2.64
3 O 0.5000 0.1116 0.1899  2 Dy 2.11-2.12
4 O 0.5000 0.8883 0.6899  2 Dy 2.11-2.12
5 Ag 0.0000 0.2746 0.0857  2 O 2.44, 2 S 2.52-2.55
6 Ag 0.0000 0.7254 0.5857  2 O 2.44, 2 S 2.52-2.55
7 Dy 0.5000 0.1679 0.5206  2 O 2.11-2.12
8 Dy 0.5000 0.8321 0.0206  2 O 2.11-2.12

Values from the calculation:
Size of the total moment in μB per formula unit: 0.00
SG: Pmc2_1

=====

Record 4
DFT (PBE) results for FeI2 after structural relaxation.

Cell: 3.9106 6.8504 14.4859 Å, 90.00 90.00 90.00°
Closest atoms and distances in Å follow each position.
Positions (direct):
1 Fe 0.0000 0.9835 0.5000  5 I 2.71-2.80
2 Fe 0.0000 0.5894 0.0074  5 I 2.71-2.80
3 Fe 0.5000 0.4106 0.5074  5 I 2.71-2.80
4 Fe 0.5000 0.0165 0.0000  5 I 2.71-2.80
5 I 0.0000 0.6045 0.6108  3 Fe 2.80-3.05
6 I 0.0000 0.8978 0.1242  3 Fe 2.71-2.78
7 I 0.5000 0.1022 0.6242  3 Fe 2.71-2.78
8 I 0.5000 0.7080 0.8832  3 Fe 2.71-2.78
9 I 0.0000 0.2110 0.8966  3 Fe 2.80-3.05
10 I 0.0000 0.2920 0.3832  3 Fe 2.71-2.78
11 I 0.5000 0.7890 0.3966  3 Fe 2.80-3.05
12 I 0.5000 0.3955 0.1108  3 Fe 2.80-3.05

Values from the calculation:
Size of the total moment in μB per formula unit: 4.00
SG: Pmn2_1

=====

Record 5
DFT (PBE) results for Dy2Se2O7 after structural relaxation.

Cell: 10.5414 10.5414 5.1920 Å, 90.00 90.00 90.00°
Closest atoms and distances in Å follow each position.
Positions (direct):
1 Dy 0.3781 0.6219 0.7500  8 O 2.23-2.50
2 Dy 0.6219 0.3781 0.7500  8 O 2.23-2.50
3 Dy 0.8781 0.8781 0.2500  8 O 2.23-2.50
4 Dy 0.3781 0.3781 0.2500  8 O 2.23-2.50
5 Dy 0.1219 0.1219 0.2500  8 O 2.23-2.50
6 Dy 0.1219 0.8781 0.7500  8 O 2.23-2.50
7 Dy 0.6219 0.6219 0.2500  8 O 2.23-2.50
8 Dy 0.8781 0.1219 0.7500  8 O 2.23-2.50
9 O 0.8149 0.6851 0.4372  1 Se 1.73
10 O 0.6851 0.1851 0.5628  1 Se 1.73
11 O 0.1851 0.3149 0.4372  1 Se 1.73
12 O 0.4314 0.7470 0.1198  1 Se 1.73
13 O 0.0000 0.0000 0.5000  4 Dy 2.23
14 O 0.0000 0.0000 0.0000  4 Dy 2.23
15 O 0.4314 0.2530 0.6198  1 Se 1.73
16 O 0.5686 0.7470 0.6198  1 Se 1.73
17 O 0.2470 0.0686 0.6198  1 Se 1.73
18 O 0.0686 0.2470 0.8802  1 Se 1.73
19 O 0.1851 0.6851 0.9372  1 Se 1.73
20 O 0.8149 0.3149 0.9372  1 Se 1.73
21 O 0.5000 0.5000 0.0000  4 Dy 2.23
22 O 0.5686 0.2530 0.1198  1 Se 1.73
23 O 0.2470 0.9314 0.1198  1 Se 1.73
24 O 0.3149 0.1851 0.0628  1 Se 1.73
25 O 0.7530 0.0686 0.1198  1 Se 1.73
26 O 0.3149 0.8149 0.5628  1 Se 1.73
27 O 0.9314 0.2470 0.3802  1 Se 1.73
28 O 0.9314 0.7530 0.8802  1 Se 1.73
29 O 0.2530 0.5686 0.3802  1 Se 1.73
30 O 0.6851 0.8149 0.0628  1 Se 1.73
31 O 0.2530 0.4314 0.8802  1 Se 1.73
32 O 0.0686 0.7530 0.3802  1 Se 1.73
33 O 0.7530 0.9314 0.6198  1 Se 1.73
34 O 0.7470 0.5686 0.8802  1 Se 1.73
35 O 0.7470 0.4314 0.3802  1 Se 1.73
36 O 0.5000 0.5000 0.5000  4 Dy 2.23
37 Se 0.8796 0.3796 0.2136  3 O 1.73
38 Se 0.1204 0.3796 0.7136  3 O 1.73
39 Se 0.3796 0.1204 0.7864  3 O 1.73
40 Se 0.1204 0.6204 0.2136  3 O 1.73
41 Se 0.6204 0.1204 0.2864  3 O 1.73
42 Se 0.6204 0.8796 0.7864  3 O 1.73
43 Se 0.8796 0.6204 0.7136  3 O 1.73
44 Se 0.3796 0.8796 0.2864  3 O 1.73

Values from the calculation:
Size of the total moment in μB per formula unit: 0.00
SG: P4_2/ncm

=====

Record 6
DFT (PBE) results for Mg5CdAu4 after structural relaxation.

Cell: 3.3207 3.3207 16.8814 Å, 90.00 90.00 90.00°
Closest atoms and distances in Å follow each position.
Positions (direct):
1 Mg 0.5000 0.5000 0.8839  4 Au 2.82, 4 Cd 3.06
2 Mg 0.5000 0.5000 0.3070  8 Au 2.86-2.88
3 Mg 0.5000 0.5000 0.5000  8 Au 2.86
4 Mg 0.5000 0.5000 0.1161  4 Au 2.82, 4 Cd 3.06
5 Mg 0.5000 0.5000 0.6930  8 Au 2.86-2.88
6 Au 0.0000 0.0000 0.2085  8 Mg 2.82-2.88
7 Au 0.0000 0.0000 0.7915  8 Mg 2.82-2.88
8 Au 0.0000 0.0000 0.5968  8 Mg 2.86
9 Au 0.0000 0.0000 0.4032  8 Mg 2.86
10 Cd 0.0000 0.0000 0.0000  8 Mg 3.06, 4 Cd 3.32

Values from the calculation:
SG: P4/mmm

=====

Record 7
DFT (PBE) results for Hf31ReO64 after structural relaxation.

Cell: 9.9634 10.0772 10.4125 Å, 89.93 89.99 89.98°
Closest atoms and distances in Å follow each position.
Positions (direct):
1 Hf 0.2405 0.1276 0.6073  7 O 2.04-2.20
2 Hf 0.7410 0.6223 0.1066  7 O 2.04-2.21
3 Hf 0.2406 0.8773 0.3928  7 O 2.03-2.20
4 Hf 0.0106 0.6232 0.3563  7 O 2.09-2.19
5 Hf 0.2400 0.1269 0.1079  7 O 2.05-2.20
6 Hf 0.0073 0.1210 0.3584  7 O 2.03-2.20
7 Hf 0.2398 0.8774 0.8934  7 O 2.04-2.20
8 Hf 0.7417 0.1220 0.6064  7 O 2.04-2.21
9 Hf 0.0100 0.6228 0.8567  7 O 2.04-2.21
10 Hf 0.5114 0.8769 0.1444  7 O 2.05-2.23
11 Hf 0.0099 0.3729 0.1430  7 O 2.04-2.21
12 Hf 0.2404 0.6280 0.1069  7 O 2.03-2.20
13 Hf 0.0098 0.3730 0.6419  7 O 2.04-2.21
14 Hf 0.5107 0.1263 0.3572  7 O 2.03-2.20
15 Hf 0.0102 0.1226 0.8574  7 O 2.04-2.20
16 Hf 0.5095 0.6272 0.8576  7 O 2.03-2.21
17 Hf 0.5101 0.1277 0.8581  7 O 2.04-2.21
18 Hf 0.0099 0.8728 0.6418  7 O 2.05-2.20
19 Hf 0.0070 0.8724 0.1444  7 O 2.03-2.21
20 Hf 0.5097 0.3771 0.1426  7 O 2.04-2.20
21 Hf 0.5100 0.3772 0.6425  7 O 2.03-2.21
22 Hf 0.7388 0.6238 0.6081  7 O 2.03-2.21
23 Hf 0.2409 0.6271 0.6066  7 O 2.04-2.21
24 Hf 0.2403 0.3772 0.8928  7 O 2.04-2.20
25 Hf 0.7407 0.3722 0.8924  7 O 2.04-2.21
26 Hf 0.7414 0.1219 0.1083  7 O 2.03-2.21
27 Hf 0.7400 0.3732 0.3926  7 O 2.04-2.22
28 Hf 0.5105 0.6288 0.3560  7 O 2.04-2.22
29 Hf 0.5087 0.8777 0.6437  7 O 2.04-2.21
30 Hf 0.2409 0.3771 0.3924  7 O 2.04-2.21
31 Hf 0.7401 0.8730 0.8926  7 O 2.04-2.21
32 O 0.6014 0.7482 0.0060  4 Hf 2.14-2.21
33 O 0.8344 0.9356 0.0610  3 Hf 2.03-2.15
34 O 0.6492 0.2515 0.7440  4 Hf 2.15-2.21
35 O 0.1488 0.9988 0.7444  4 Hf 2.13-2.20
36 O 0.9158 0.1864 0.6875  3 Hf 2.04-2.15
37 O 0.6052 0.9951 0.4929  1 Re 2.09, 3 Hf 2.15-2.21
38 O 0.6481 0.7519 0.7439  4 Hf 2.12-2.21
39 O 0.9150 0.6864 0.6861  3 Hf 2.03-2.15
40 O 0.8360 0.1909 0.4390  3 Hf 2.03-2.13
41 O 0.3345 0.3136 0.0626  3 Hf 2.04-2.16
42 O 0.4147 0.8130 0.3117  3 Hf 2.03-2.14
43 O 0.3353 0.8145 0.0627  3 Hf 2.05-2.15
44 O 0.3360 0.0634 0.4379  3 Hf 2.03-2.15
45 O 0.6020 0.2483 0.0060  4 Hf 2.13-2.21
46 O 0.6011 0.2470 0.5059  4 Hf 2.14-2.22
47 O 0.6491 0.5019 0.7552  4 Hf 2.14-2.21
48 O 0.1031 0.0014 0.5060  4 Hf 2.13-2.20
49 O 0.9152 0.1873 0.1879  3 Hf 2.03-2.15
50 O 0.1483 0.7488 0.7553  4 Hf 2.14-2.20
51 O 0.6481 0.0015 0.7564  4 Hf 2.13-2.21
52 O 0.8359 0.4407 0.5607  3 Hf 2.04-2.14
53 O 0.3341 0.0648 0.9373  3 Hf 2.04-2.16
54 O 0.8345 0.6859 0.9364  3 Hf 2.04-2.16
55 O 0.6523 0.7525 0.2438  3 Hf 2.13-2.22, 1 Re 2.15
56 O 0.4166 0.0637 0.1878  3 Hf 2.05-2.15
57 O 0.6520 0.9996 0.2606  1 Re 2.12, 3 Hf 2.15-2.23
58 O 0.9157 0.4357 0.8118  3 Hf 2.04-2.16
59 O 0.1484 0.4991 0.2444  4 Hf 2.14-2.19
60 O 0.1012 0.7514 0.9940  4 Hf 2.13-2.20
61 O 0.1011 0.7513 0.4938  4 Hf 2.13-2.21
62 O 0.9099 0.9368 0.3118  1 Re 2.06, 2 Hf 2.10-2.15
63 O 0.3351 0.5644 0.4369  3 Hf 2.04-2.16
64 O 0.6484 0.5014 0.2549  4 Hf 2.13-2.20
65 O 0.1011 0.0011 0.0065  4 Hf 2.15-2.20
66 O 0.5980 0.7477 0.5048  3 Hf 2.15-2.16, 1 Re 2.16
67 O 0.4170 0.0648 0.6864  3 Hf 2.04-2.14
68 O 0.6014 0.9987 0.9956  4 Hf 2.14-2.21
69 O 0.4153 0.8145 0.8129  3 Hf 2.04-2.16
70 O 0.4154 0.5639 0.1865  3 Hf 2.03-2.15
71 O 0.3342 0.5644 0.9369  3 Hf 2.03-2.16
72 O 0.3348 0.3146 0.5627  3 Hf 2.03-2.16
73 O 0.1017 0.5012 0.0055  4 Hf 2.14-2.20
74 O 0.6485 0.2506 0.2443  4 Hf 2.13-2.20
75 O 0.1483 0.2481 0.2561  4 Hf 2.14-2.21
76 O 0.6017 0.4983 0.9936  4 Hf 2.13-2.21
77 O 0.9146 0.9364 0.8106  3 Hf 2.04-2.16
78 O 0.8350 0.4354 0.0619  3 Hf 2.04-2.15
79 O 0.1463 0.9979 0.2452  4 Hf 2.15-2.20
80 O 0.1016 0.2512 0.9946  4 Hf 2.13-2.20
81 O 0.8349 0.1853 0.9377  3 Hf 2.04-2.16
82 O 0.4159 0.3136 0.3124  3 Hf 2.04-2.16
83 O 0.9144 0.4386 0.3121  3 Hf 2.04-2.14
84 O 0.1489 0.2488 0.7559  4 Hf 2.13-2.21
85 O 0.4162 0.5647 0.6871  3 Hf 2.04-2.16
86 O 0.1021 0.2510 0.4943  4 Hf 2.15-2.20
87 O 0.3339 0.8144 0.5630  3 Hf 2.04-2.15
88 O 0.6018 0.4986 0.4940  4 Hf 2.15-2.21
89 O 0.1486 0.4987 0.7435  4 Hf 2.13-2.21
90 O 0.4161 0.3146 0.8127  3 Hf 2.04-2.16
91 O 0.8353 0.9380 0.5595  2 Hf 2.05-2.13, 1 Re 2.08
92 O 0.8326 0.6962 0.4362  1 Re 2.01, 2 Hf 2.09-2.15
93 O 0.1019 0.5015 0.5049  4 Hf 2.13-2.21
94 O 0.9168 0.6842 0.1866  3 Hf 2.04-2.14
95 O 0.1483 0.7483 0.2561  4 Hf 2.14-2.21
96 Re 0.7375 0.8677 0.3972  7 O 2.01-2.16

Values from the calculation:
Size of the total moment in μB per formula unit: 0.99
SG: P1

=====

Record 8
DFT (PBE) results for SrHfPO after structural relaxation.

Cell: 4.2824 7.1591 6.1869 Å, 90.00 90.00 90.00°
Closest atoms and distances in Å follow each position.
Positions (direct):
1 Hf 0.0000 0.6097 0.5186  2 O 2.01-2.06
2 Hf 0.0000 0.3903 0.0186  2 O 2.01-2.06
3 P 0.5000 0.7809 0.4386  2 Hf 2.52
4 P 0.5000 0.2191 0.9386  2 Hf 2.52
5 Sr 0.5000 0.8002 0.9468  2 O 2.53
6 Sr 0.5000 0.1998 0.4468  2 O 2.53
7 O 0.0000 0.3697 0.3500  2 Hf 2.01-2.06
8 O 0.0000 0.6303 0.8500  2 Hf 2.01-2.06

Values from the calculation:
Size of the total moment in μB per formula unit: 0.10
SG: Pmc2_1
ΔE to the lowest computed polymorph in kJ per mole of atoms: 1.4

=====

| no. | DFT total energy (eV/atom) |
| --- | --- |
| 1 | -6.7584 |
| 2 | -4.1958 |
| 3 | -5.7652 |
| 4 | -3.8797 |
| 5 | -6.7706 |
| 6 | -2.6909 |
| 7 | -10.0866 |
| 8 | -7.2819 |